(i)
Below is an optimized crystal structure of ZnOs3Cl, with properties calculated at the PBE level.

It has space group Pm-3m (No. 221), with a = 4.635 Å, b = 4.635 Å, c = 4.635 Å, α = 90.00°, β = 90.00° and γ = 90.00°. Symmetry generates all atoms from Zn at (0.000, 0.000, 0.000), Os at (0.000, 0.000, 0.500) and Cl at (0.500, 0.500, 0.500).


(ii)
Below is an optimized crystal structure of ZnOs3Cl, with properties calculated at the PBE level.

It has space group Pm-3m (No. 221), with a = 4.348 Å, b = 4.348 Å, c = 4.348 Å, α = 90.00°, β = 90.00° and γ = 90.00°. Symmetry generates all atoms from Zn at (0.000, 0.000, 0.000), Os at (0.000, 0.500, 0.500) and Cl at (0.500, 0.500, 0.500).


Most stable: (ii) (next structure +0.719 eV/atom)


(i)
Below is an optimized crystal structure of ZrOsCl2, with properties calculated at the PBE level.

It has space group F-43m (No. 216), with a = 6.663 Å, b = 6.663 Å, c = 6.663 Å, α = 90.00°, β = 90.00° and γ = 90.00°. Symmetry generates all atoms from Zr at (0.000, 0.000, 0.000), Os at (0.250, 0.250, 0.750), Cl at (0.000, 0.000, 0.500) and Cl at (0.250, 0.250, 0.250).


(ii)
Below is an optimized crystal structure of ZrOsCl2, with properties calculated at the PBE level.

It has space group Pmmm (No. 47), with a = 2.996 Å, b = 4.376 Å, c = 5.359 Å, α = 90.00°, β = 90.00° and γ = 90.00°. Symmetry generates all atoms from Zr at (0.000, 0.000, 0.000), Os at (0.500, 0.000, 0.500), Cl at (0.000, 0.500, 0.500) and Cl at (0.500, 0.500, 0.000).


(iii)
Below is an optimized crystal structure of ZrOsCl2, with properties calculated at the PBE level.

It has space group Cmmm (No. 65), with a = 3.038 Å, b = 5.413 Å, c = 10.777 Å, α = 90.00°, β = 90.00° and γ = 90.00°. Symmetry generates all atoms from Zr at (0.000, 0.000, 0.000), Os at (0.000, 0.000, 0.500) and Cl at (0.000, 0.500, 0.190).


Most stable: (ii) (next structure +0.175 eV/atom)


(i)
Below is an optimized crystal structure of ZrOsCl2, with properties calculated at the PBE level.

It has space group Pmm2 (No. 25), with a = 3.381 Å, b = 3.734 Å, c = 6.942 Å, α = 90.00°, β = 90.00° and γ = 90.00°. Symmetry generates all atoms from Zr at (0.000, 0.000, 0.000), Os at (0.500, 0.500, 0.853), Cl at (0.000, 0.000, 0.621) and Cl at (0.500, 0.500, 0.215).


(ii)
Below is an optimized crystal structure of ZrOsCl2, with properties calculated at the PBE level.

It has space group Cm (No. 8), with a = 10.181 Å, b = 3.316 Å, c = 5.588 Å, α = 90.00°, β = 100.19° and γ = 90.00°. Symmetry generates all atoms from Zr at (0.000, 0.000, 0.000), Os at (0.378, 0.000, 0.710), Cl at (0.007, 0.500, 0.404) and Cl at (0.224, 0.500, 0.009).


Most stable: (ii) (next structure +0.045 eV/atom)


(i)
Below is an optimized crystal structure of ZrOsCl2, with properties calculated at the PBE level.

It has space group C2/m (No. 12), with a = 5.777 Å, b = 8.677 Å, c = 4.080 Å, α = 90.00°, β = 133.95° and γ = 90.00°. Symmetry generates all atoms from Zr at (0.000, 0.000, 0.000), Os at (0.000, 0.500, 0.000) and Cl at (0.250, 0.250, 0.500).


(ii)
Below is an optimized crystal structure of ZrOsCl2, with properties calculated at the PBE level.

It has space group P4mm (No. 99), with a = 3.115 Å, b = 3.115 Å, c = 8.761 Å, α = 90.00°, β = 90.00° and γ = 90.00°. Symmetry generates all atoms from Zr at (0.000, 0.000, 0.000), Os at (0.500, 0.500, 0.804), Cl at (0.000, 0.000, 0.605) and Cl at (0.500, 0.500, 0.205).


Most stable: (ii) (next structure +0.352 eV/atom)


(i)
Below is an optimized crystal structure of ZrOs3Cl, with properties calculated at the PBE level.

It has space group Pm-3m (No. 221), with a = 4.396 Å, b = 4.396 Å, c = 4.396 Å, α = 90.00°, β = 90.00° and γ = 90.00°. Symmetry generates all atoms from Zr at (0.000, 0.000, 0.000), Os at (0.000, 0.500, 0.500) and Cl at (0.500, 0.500, 0.500).


(ii)
Below is an optimized crystal structure of ZrOs3Cl, with properties calculated at the PBE level.

It has space group Pm-3m (No. 221), with a = 4.983 Å, b = 4.983 Å, c = 4.983 Å, α = 90.00°, β = 90.00° and γ = 90.00°. Symmetry generates all atoms from Zr at (0.000, 0.000, 0.000), Os at (0.000, 0.000, 0.500) and Cl at (0.500, 0.500, 0.500).


Most stable: (i) (next structure +1.406 eV/atom)


(i)
Below is an optimized crystal structure of PCl, with properties calculated at the PBE level.

It has space group Cm (No. 8), with a = 16.953 Å, b = 3.317 Å, c = 6.268 Å, α = 90.00°, β = 98.02° and γ = 90.00°. Symmetry generates all atoms from P at (0.000, 0.000, 0.000), P at (0.079, 0.500, 0.157), P at (0.184, 0.000, 0.205), Cl at (0.212, 0.000, 0.533), Cl at (0.286, 0.500, 0.144) and Cl at (0.465, 0.000, 0.702).


(ii)
Below is an optimized crystal structure of PCl, with properties calculated at the PBE level.

It has space group P4/m (No. 83), with a = 13.097 Å, b = 13.097 Å, c = 3.409 Å, α = 90.00°, β = 90.00° and γ = 90.00°. Symmetry generates all atoms from P at (0.095, 0.617, 0.000), P at (0.184, 0.695, 0.500), Cl at (0.027, 0.282, 0.000) and Cl at (0.304, 0.592, 0.500).


(iii)
Below is an optimized crystal structure of PCl, with properties calculated at the PBE level.

It has space group R-3m (No. 166, hexagonal axes), with a = 3.4223 Å, b = 3.4223 Å, c = 25.8222 Å, α = 90.00°, β = 90.00° and γ = 120.00°. Symmetry generates all atoms from P at (0.0000, 0.0000, 0.1439) and Cl at (0.0000, 0.0000, 0.4055).


(iv)
Below is an optimized crystal structure of PCl, with properties calculated at the PBE level.

It has space group P6_3/m (No. 176), with a = 10.2595 Å, b = 10.2595 Å, c = 3.5110 Å, α = 90.00°, β = 90.00° and γ = 120.00°. Symmetry generates all atoms from P at (0.0597, 0.8729, 0.2500) and Cl at (0.1318, 0.7158, 0.2500).


Most stable: (ii) (next structure +0.163 eV/atom)


(i)
Below is an optimized crystal structure of PCl, with properties calculated at the PBE level.

It has space group P6_3/mmc (No. 194), with a = 4.7409 Å, b = 4.7409 Å, c = 4.5566 Å, α = 90.00°, β = 90.00° and γ = 120.00°. Symmetry generates all atoms from P at (0.0000, 0.0000, 0.0000) and Cl at (0.3333, 0.6667, 0.2500).


(ii)
Below is an optimized crystal structure of PCl, with properties calculated at the PBE level.

It has space group Fm-3m (No. 225), with a = 5.480 Å, b = 5.480 Å, c = 5.480 Å, α = 90.00°, β = 90.00° and γ = 90.00°. Symmetry generates all atoms from P at (0.000, 0.000, 0.000) and Cl at (0.000, 0.000, 0.500).


Most stable: (i) (next structure +0.379 eV/atom)


(i)
Below is an optimized crystal structure of P2Cl, with properties calculated at the PBE level.

It has space group Cm (No. 8), with a = 7.576 Å, b = 3.360 Å, c = 6.311 Å, α = 90.00°, β = 99.05° and γ = 90.00°. Symmetry generates all atoms from P at (0.000, 0.000, 0.000), P at (0.025, 0.500, 0.794) and Cl at (0.186, 0.000, 0.282).


(ii)
Below is an optimized crystal structure of P2Cl, with properties calculated at the PBE level.

It has space group P6/mmm (No. 191), with a = 3.9165 Å, b = 3.9165 Å, c = 4.7419 Å, α = 90.00°, β = 90.00° and γ = 120.00°. Symmetry generates all atoms from P at (0.3333, 0.6667, 0.0000) and Cl at (0.0000, 0.0000, 0.5000).


(iii)
Below is an optimized crystal structure of P2Cl, with properties calculated at the PBE level.

It has space group I4/mcm (No. 140), with a = 6.497 Å, b = 6.497 Å, c = 6.321 Å, α = 90.00°, β = 90.00° and γ = 90.00°. Symmetry generates all atoms from P at (0.108, 0.392, 0.000) and Cl at (0.000, 0.000, 0.250).


Most stable: (i) (next structure +0.433 eV/atom)


(i)
Below is an optimized crystal structure of P2Cl, with properties calculated at the PBE level.

It has space group C2/m (No. 12), with a = 11.406 Å, b = 4.643 Å, c = 7.365 Å, α = 90.00°, β = 124.65° and γ = 90.00°. Symmetry generates all atoms from P at (0.003, 0.000, 0.159), P at (0.228, 0.000, 0.990) and Cl at (0.063, 0.500, 0.269).


(ii)
Below is an optimized crystal structure of P2Cl, with properties calculated at the PBE level.

It has space group Pnnm (No. 58), with a = 5.506 Å, b = 7.508 Å, c = 5.967 Å, α = 90.00°, β = 90.00° and γ = 90.00°. Symmetry generates all atoms from P at (0.091, 0.113, 0.000) and Cl at (0.000, 0.500, 0.500).


(iii)
Below is an optimized crystal structure of P2Cl, with properties calculated at the PBE level.

It has space group P4/mmm (No. 123), with a = 4.684 Å, b = 4.684 Å, c = 2.719 Å, α = 90.00°, β = 90.00° and γ = 90.00°. Symmetry generates all atoms from P at (0.000, 0.500, 0.000) and Cl at (0.000, 0.000, 0.500).


Most stable: (i) (next structure +0.236 eV/atom)


(i)
Below is an optimized crystal structure of P2Cl, with properties calculated at the PBE level.

It has space group I4/mmm (No. 139), with a = 3.312 Å, b = 3.312 Å, c = 10.634 Å, α = 90.00°, β = 90.00° and γ = 90.00°. Symmetry generates all atoms from P at (0.000, 0.000, 0.226) and Cl at (0.000, 0.000, 0.000).


(ii)
Below is an optimized crystal structure of P2Cl, with properties calculated at the PBE level.

It has space group Cm (No. 8), with a = 13.350 Å, b = 3.281 Å, c = 9.136 Å, α = 90.00°, β = 123.60° and γ = 90.00°. Symmetry generates all atoms from P at (0.000, 0.000, 0.000), P at (0.025, 0.000, 0.260), P at (0.100, 0.500, 0.983), P at (0.393, 0.000, 0.215), Cl at (0.313, 0.000, 0.846) and Cl at (0.443, 0.000, 0.477).


Most stable: (ii) (next structure +0.155 eV/atom)


(i)
Below is an optimized crystal structure of P4Cl, with properties calculated at the PBE level.

It has space group Pm-3m (No. 221), with a = 4.575 Å, b = 4.575 Å, c = 4.575 Å, α = 90.00°, β = 90.00° and γ = 90.00°. Symmetry generates all atoms from P at (0.000, 0.000, 0.000), P at (0.000, 0.500, 0.500) and Cl at (0.500, 0.500, 0.500).


(ii)
Below is an optimized crystal structure of P4Cl, with properties calculated at the PBE level.

It has space group Im-3m (No. 229), with a = 5.713 Å, b = 5.713 Å, c = 5.713 Å, α = 90.00°, β = 90.00° and γ = 90.00°. Symmetry generates all atoms from P at (0.250, 0.250, 0.250) and Cl at (0.000, 0.000, 0.000).


Most stable: (ii) (next structure +0.393 eV/atom)